[1]
BaAs2 PBEsol relaxed; E_form = -0.783 eV per atom; spin magnetization = 0.0 Bohr magnetons per cell
1.0
4.5588 0.0000 0.0000
-2.2794 3.9481 0.0000
0.0000 0.0000 4.6307
As Ba
2 1
Direct
0.3333 0.6667 0.4631
0.6667 0.3333 0.5369
0.0000 0.0000 0.0000

***

[2]
MoPtIO2 PBEsol relaxed; uncorrected energy = -27.49 eV for the cell shown; spin magnetization = 3.8 Bohr magnetons per cell
1.0
3.8317 0.0000 0.0000
0.0000 3.8317 0.0000
0.0000 0.0000 7.0019
I Mo O Pt
1 1 2 1
Direct
0.0000 0.0000 0.5000
0.5000 0.5000 0.5000
0.0000 0.5000 0.0000
0.5000 0.0000 0.0000
0.0000 0.0000 0.0000

***

[3]
Sc3Se PBEsol relaxed; offset from the most stable computed form = 0 meV per atom; spin magnetization = 0.0 Bohr magnetons per cell
1.0
5.8503 0.0000 0.0000
0.0000 6.5861 0.0000
0.0000 0.0000 8.6122
Sc Se
12 4
Direct
0.1527 0.0221 0.7500
0.6527 0.4779 0.2500
0.3473 0.5221 0.7500
0.8473 0.9779 0.2500
0.6302 0.1934 0.9561
0.1302 0.3066 0.0439
0.8698 0.6934 0.5439
0.3698 0.8066 0.4561
0.3698 0.8066 0.0439
0.8698 0.6934 0.9561
0.1302 0.3066 0.4561
0.6302 0.1934 0.5439
0.5870 0.8764 0.7500
0.0870 0.6236 0.2500
0.9130 0.3764 0.7500
0.4130 0.1236 0.2500

***

no.,Fermi-level density of states (states/eV/atom)
1,0.186
2,1.002
3,1.156